No. 1
## Y2NiAs (PBE)

Data for Y2NiAs after structural relaxation.

Summary:
M_tot = 0.00 μB/cell
Density = 5.4 Mg/m³
Energy relative to the elements = -3.0 eV per formula unit
E = -6.5790 eV per atom

Geometry as CIF:
```
data_Y2NiAs
_chemical_formula_sum 'Y2 Ni1 As1'
_cell_length_a 7.201
_cell_length_b 7.201
_cell_length_c 7.201
_cell_angle_alpha 32.38
_cell_angle_beta 32.38
_cell_angle_gamma 32.38
_symmetry_space_group_name_H-M 'P 1'
_symmetry_Int_Tables_number 1
loop_
_symmetry_equiv_pos_as_xyz
'x,y,z'
loop_
_atom_site_label
_atom_site_fract_x
_atom_site_fract_y
_atom_site_fract_z
_atom_site_occupancy
Y1 0.000 0.000 0.000 1
Y2 0.185 0.185 0.185 1
Ni1 0.771 0.771 0.771 1
As1 0.420 0.420 0.420 1
```

=====

No. 2
## Pa2Al5Pd (PBE)

Data for Pa2Al5Pd after structural relaxation.

Summary:
M_tot = 0.00 μB/cell
Density = 7.4 Mg/m³
Energy relative to the elements = -2.3 eV per formula unit
E = -5.6474 eV per atom

Geometry as CIF:
```
data_Pa2Al5Pd
_chemical_formula_sum 'Pa2 Al5 Pd1'
_cell_length_a 6.063
_cell_length_b 6.063
_cell_length_c 6.063
_cell_angle_alpha 120.20
_cell_angle_beta 120.20
_cell_angle_gamma 89.65
_symmetry_space_group_name_H-M 'P 1'
_symmetry_Int_Tables_number 1
loop_
_symmetry_equiv_pos_as_xyz
'x,y,z'
loop_
_atom_site_label
_atom_site_fract_x
_atom_site_fract_y
_atom_site_fract_z
_atom_site_occupancy
Pa1 0.000 0.500 0.500 1
Pa2 0.500 0.000 0.500 1
Al1 0.000 0.000 0.000 1
Al2 0.000 0.000 0.500 1
Al3 0.000 0.500 0.000 1
Al4 0.500 0.000 0.000 1
Al5 0.500 0.500 0.500 1
Pd1 0.500 0.500 0.000 1
```

=====

Question: density of number 1 (Y2NiAs)?
Answer: 5.4 Mg/m³

=====

Question: Which formula does entry 2 have?
Answer: Pa2Al5Pd

=====

Question: What is the formula in the first record?
Answer: Y2NiAs

=====

Question: Number 1 is which compound?
Answer: Y2NiAs